The following is a DFT calculation (GGA-PBE) of a relaxed structure of Na2ZrRuCl.

abc: 6.359 4.555 6.359
angles: 90.00 90.00 90.00
Element x y z (fractional)
Ru1 0.000 0.500 0.000
Cl1 0.500 0.500 0.500
Zr1 0.000 0.000 0.000
Na1 0.000 0.000 0.500
Na2 0.500 0.000 0.000

space-group type = No. 123

The following is a DFT calculation (GGA-PBE) of a relaxed structure of Na3SCl.

abc: 5.225 5.225 5.225
angles: 90.00 90.00 90.00
Element x y z (fractional)
Na1 0.500 0.000 0.000
Na2 0.000 0.500 0.000
Cl1 0.500 0.500 0.500
S1 0.000 0.000 0.000
Na3 0.000 0.000 0.500

excess energy over the best structure of this formula in the dataset = 0 meV/atom
space-group type = No. 221

The E_form (uncorrected) results, record by record, are as follows: 0.70, -1.19 eV per atom.
The E_tot results, record by record, are as follows: -18.80, -15.90 eV for the cell shown.
The DOS(E_F) results, record by record, are as follows: 3.998, 0.000 states/eV/cell.